# 1
Compound: NaNdBi2
Source: Alexandria via LeMat-Bulk
Functional: PBE-GGA
Structure: optimized geometry

The structure in POSCAR format:
```
NaNdBi2
1.0
2.474 1.428 6.562
-2.474 1.428 6.562
0.000 -2.857 6.562
Na Nd Bi
1 1 2
direct
0.000 0.000 0.000
0.181 0.181 0.181
0.596 0.596 0.596
0.760 0.760 0.760
```

## Properties
ΔE to the lowest computed polymorph   135.0 meV/atom
Formation energy   -0.4365 eV/atom
Density   6.98 Mg/m³



# 2
Compound: Sr2TcOs
Source: Alexandria via LeMat-Bulk
Functional: PBE-GGA
Structure: optimized geometry

The structure in POSCAR format:
```
Sr2TcOs
1.0
0.000 3.532 3.532
3.532 0.000 3.532
3.532 3.532 0.000
Sr Tc Os
2 1 1
direct
0.000 0.000 0.000
0.250 0.250 0.250
0.750 0.750 0.750
0.500 0.500 0.500
```

## Properties
ΔE to the lowest computed polymorph   574.4 meV/atom
Formation energy   1.0706 eV/atom
Density   8.73 Mg/m³



# 3
Compound: Ni2AgIrN
Source: Alexandria via LeMat-Bulk
Functional: PBE-GGA
Structure: optimized geometry

The structure in POSCAR format:
```
Ni2AgIrN
1.0
3.964 0.000 0.000
0.000 3.964 0.000
0.000 0.000 3.918
Ni Ag Ir N
2 1 1 1
direct
0.000 0.500 0.000
0.500 0.000 0.000
0.000 0.000 0.500
0.500 0.500 0.500
0.500 0.500 0.000
```

## Properties
Density   11.64 Mg/m³
E_form (uncorrected)   22 kJ per mole of atoms



# 4
Compound: PmEr3Pt2
Source: Alexandria via LeMat-Bulk
Functional: PBE-GGA
Structure: optimized geometry

The structure in POSCAR format:
```
PmEr3Pt2
1.0
7.681 -2.561 0.000
7.681 2.561 0.000
-2.603 0.000 7.758
Pm Er Pt
2 6 4
direct
0.153 0.153 0.252
0.847 0.847 0.748
0.065 0.065 0.760
0.317 0.317 0.998
0.379 0.379 0.481
0.621 0.621 0.519
0.683 0.683 0.002
0.935 0.935 0.240
0.216 0.216 0.639
0.494 0.494 0.824
0.506 0.506 0.176
0.784 0.784 0.361
```

## Properties
ΔE to the lowest computed polymorph   160.2 meV/atom
Formation energy   -0.7953 eV/atom
Density   11.28 Mg/m³



# 5
Compound: KLiBe2
Source: Alexandria via LeMat-Bulk
Functional: PBE-GGA
Structure: optimized geometry

The structure in POSCAR format:
```
KLiBe2
1.0
-1.394 2.777 5.113
1.394 -2.777 5.113
1.394 2.777 -5.113
K Li Be
1 1 2
direct
0.000 0.000 0.000
0.683 0.183 0.500
0.297 0.797 0.500
0.453 0.453 0.000
```

## Properties
ΔE to the lowest computed polymorph   541.0 meV/atom
Formation energy   0.7168 eV/atom
Density   1.34 Mg/m³



# 6
Compound: CaSi2Pb
Source: Alexandria via LeMat-Bulk
Functional: PBE-GGA
Structure: optimized geometry

The structure in POSCAR format:
```
CaSi2Pb
1.0
3.347 0.000 0.000
0.000 4.455 0.000
0.000 0.000 6.403
Ca Si Pb
1 2 1
direct
0.000 0.000 0.000
0.500 0.500 0.196
0.500 0.500 0.804
0.000 0.000 0.500
```

## Properties
Density   5.28 Mg/m³
E_form (uncorrected)   12 kJ per mole of atoms



# 7
Compound: SrPu3P4N12
Source: Alexandria via LeMat-Bulk
Functional: PBE-GGA
Structure: optimized geometry

The structure in POSCAR format:
```
SrPu3P4N12
1.0
5.423 3.131 2.913
-5.423 3.131 2.913
0.000 -6.262 2.913
Sr Pu P N
1 3 4 12
direct
0.000 0.000 0.000
0.000 0.551 0.449
0.449 0.000 0.551
0.551 0.449 0.000
0.054 0.500 0.946
0.500 0.500 0.500
0.500 0.946 0.054
0.946 0.054 0.500
0.026 0.627 0.785
0.094 0.906 0.500
0.215 0.373 0.974
0.354 0.646 0.500
0.373 0.974 0.215
0.500 0.094 0.906
0.500 0.354 0.646
0.627 0.785 0.026
0.646 0.500 0.354
0.785 0.026 0.627
0.906 0.500 0.094
0.974 0.215 0.373
```

## Properties
Density   6.22 Mg/m³
E_form (uncorrected)   -56 kJ per mole of atoms



# 8
Compound: Ni2TeW
Source: Alexandria via LeMat-Bulk
Functional: PBE-GGA
Structure: optimized geometry

The structure in POSCAR format:
```
Ni2TeW
1.0
0.000 3.104 3.104
3.104 0.000 3.104
3.104 3.104 0.000
Ni Te W
2 1 1
direct
0.000 0.000 0.000
0.250 0.250 0.250
0.500 0.500 0.500
0.750 0.750 0.750
```

## Properties
Density   11.90 Mg/m³
E_form (uncorrected)   41 kJ per mole of atoms



# 9
Compound: NaSrY2Pt
Source: Alexandria via LeMat-Bulk
Functional: PBE-GGA
Structure: optimized geometry

The structure in POSCAR format:
```
NaSrY2Pt
1.0
5.499 0.000 0.000
0.000 5.499 0.000
0.000 0.000 6.102
Na Sr Y Pt
1 1 2 1
direct
0.000 0.000 0.000
0.500 0.500 0.000
0.000 0.500 0.500
0.500 0.000 0.500
0.500 0.500 0.500
```

## Properties
Formation energy   -0.3362 eV/atom
Density   4.35 Mg/m³



# 10
Compound: KBe3
Source: Alexandria via LeMat-Bulk
Functional: PBE-GGA
Structure: optimized geometry

The structure in POSCAR format:
```
KBe3
1.0
7.463 0.000 0.000
-3.732 6.464 0.000
0.000 0.000 3.424
K Be
2 6
direct
0.333 0.667 0.250
0.667 0.333 0.750
0.094 0.188 0.250
0.094 0.906 0.250
0.188 0.094 0.750
0.812 0.906 0.250
0.906 0.094 0.750
0.906 0.812 0.750
```

## Properties
ΔE to the lowest computed polymorph   51.0 meV/atom
Formation energy   0.5488 eV/atom
Density   1.33 Mg/m³



# 11
Compound: Th2TlPb
Source: Alexandria via LeMat-Bulk
Functional: PBE-GGA
Structure: optimized geometry

The structure in POSCAR format:
```
Th2TlPb
1.0
5.073 0.000 0.000
0.000 5.073 0.000
0.000 0.000 4.613
Th Tl Pb
2 1 1
direct
0.000 0.500 0.000
0.500 0.000 0.000
0.000 0.000 0.500
0.500 0.500 0.500
```

## Properties
Formation energy   -0.2159 eV/atom
Density   12.25 Mg/m³



# 12
Compound: ErBPd2Rh
Source: Alexandria via LeMat-Bulk
Functional: PBE-GGA
Structure: optimized geometry

The structure in POSCAR format:
```
ErBPd2Rh
1.0
4.304 0.000 0.000
0.000 4.304 0.000
0.000 0.000 4.171
Er B Pd Rh
1 1 2 1
direct
0.000 0.000 0.000
0.500 0.500 0.500
0.000 0.500 0.500
0.500 0.000 0.500
0.500 0.500 0.000
```

## Properties
Formation energy   -0.7192 eV/atom
Density   10.61 Mg/m³



# 13
Compound: NbCdOs2
Source: Alexandria via LeMat-Bulk
Functional: PBE-GGA
Structure: optimized geometry

The structure in POSCAR format:
```
NbCdOs2
1.0
-3.689 3.689 2.749
3.689 -3.689 2.749
3.689 3.689 -2.749
Nb Cd Os
2 2 4
direct
0.000 0.000 0.000
0.750 0.250 0.500
0.250 0.750 0.500
0.500 0.500 0.000
0.087 0.625 0.962
0.375 0.337 0.462
0.663 0.125 0.038
0.875 0.913 0.538
```

## Properties
Formation energy   0.8651 eV/atom
Density   13.00 Mg/m³



# 14
Compound: CaTlSeClO
Source: Alexandria via LeMat-Bulk
Functional: PBE-GGA
Structure: optimized geometry

The structure in POSCAR format:
```
CaTlSeClO
1.0
5.007 -2.133 0.000
5.007 2.133 0.000
-0.424 0.000 6.637
Ca Tl Se Cl O
1 1 1 1 1
direct
0.000 0.000 0.000
0.251 0.251 0.552
0.706 0.706 0.946
0.500 0.500 0.266
0.838 0.838 0.753
```

## Properties
ΔE to the lowest computed polymorph   115.8 meV/atom
Density   4.39 Mg/m³
E_form (uncorrected)   -129 kJ per mole of atoms